Computed, not measured: a relaxed structure of LiZrRe4 at the GGA-PBE level of DFT.

a b c (Å): 7.4273 7.4273 7.4273
angles (deg): 90.00 90.00 90.00
Last column: nearest neighbours and their distance in Å.
Space group F-43m (No. 216)
Symmetry-distinct sites (fractional):
Li (0.0000, 0.0000, 0.0000) [4 per cell]  12 Re 3.08, 4 Zr 3.22
Zr (0.2500, 0.2500, 0.2500) [4 per cell]  12 Re 3.08, 4 Li 3.22
Re (0.1255, 0.1255, 0.6255) [16 per cell]  6 Re 2.61-2.64

Values from the calculation:
Calculated volume = 17.07 Å³/atom
Energy of formation from the pure elements = 0.00 eV/atom
Density = 13.7 g cm⁻³
M_tot = 0.00 μB/cell